[1]
Computed, not measured: a relaxed Er2Fe12Si7 crystal at the PBE level of DFT.

## Properties
DFT total energy   -7.51 eV/atom
Spin magnetization   0.50 μB/atom

Lattice parameters (Å, degrees): 9.1072 9.1072 3.7285 90.00 90.00 120.00
Space group P-6 (No. 174)
One atom of each set of equivalent atoms:
Er  0.0000  0.0000  0.0000 x1
Er  0.3333  0.6667  0.5000 x1
Fe  0.0582  0.7623  0.5000 x3
Fe  0.1081  0.3717  0.0000 x3
Fe  0.3861  0.2064  0.0000 x3
Fe  0.5553  0.1204  0.5000 x3
Si  0.0592  0.5978  0.0000 x3
Si  0.2687  0.0518  0.5000 x3
Si  0.6667  0.3333  0.0000 x1

[2]
Computed, not measured: a relaxed CdIn2Hg8Bi crystal at the PBE level of DFT.

## Properties
DFT total energy   -0.99 eV/atom
Spin magnetization   0.00 μB/atom

Lattice parameters (Å, degrees): 11.650 6.459 9.383 90.00 100.45 90.00
Space group C2/m (No. 12)
One atom of each set of equivalent atoms:
Cd  0.000  0.000  0.000 x2
In  0.242  0.500  0.398 x4
Hg  0.098  0.252  0.783 x8
Hg  0.147  0.500  0.072 x4
Hg  0.161  0.000  0.287 x4
Bi  0.000  0.500  0.500 x2

Question: Which of these has the highest spin magnetization?
Answer: Er2Fe12Si7